# 1
The following is a PBE calculation of crystalline KScI4 at its relaxed geometry, from the Alexandria database.

Cell lengths 4.3590, 7.7541, 8.7421 Å; angles 104.45, 90.00, 106.26 degrees
Fractional coordinates of all 6 atoms:
I  0.8800  0.7588  0.6882
I  0.6141  0.2291  0.9164
I  0.1200  0.2412  0.3118
I  0.3858  0.7709  0.0836
K  0.5000  0.0000  0.5000
Sc  0.0000  0.0000  0.0000

VASP energy = -3.56 eV per atom

# 2
The following is a PBE calculation of crystalline KSc3I at its relaxed geometry, from the Alexandria database.

Cell lengths 5.5220, 5.5220, 5.5220 Å; angles 90.00, 90.00, 90.00 degrees
Fractional coordinates of all 5 atoms:
Sc  0.0000  0.5000  0.0000
Sc  0.0000  0.0000  0.5000
Sc  0.5000  0.0000  0.0000
K  0.5000  0.5000  0.5000
I  0.0000  0.0000  0.0000

VASP energy = -3.81 eV per atom

# 3
The following is a PBE calculation of crystalline KScI3 at its relaxed geometry, from the Alexandria database.

Cell lengths 6.2134, 6.2134, 6.2134 Å; angles 90.00, 90.00, 90.00 degrees
Fractional coordinates of all 5 atoms:
I  0.0000  0.0000  0.5000
I  0.0000  0.5000  0.0000
I  0.5000  0.0000  0.0000
Sc  0.5000  0.5000  0.5000
K  0.0000  0.0000  0.0000

VASP energy = -2.55 eV per atom

# 4
The following is a PBE calculation of crystalline K2ScI4 at its relaxed geometry, from the Alexandria database.

Cell lengths 5.8216, 5.8216, 9.8921 Å; angles 107.11, 107.11, 90.00 degrees
Fractional coordinates of all 7 atoms:
I  0.0000  0.5000  0.0000
I  0.1671  0.1671  0.3342
I  0.8329  0.8329  0.6658
I  0.5000  0.0000  0.0000
K  0.3608  0.3608  0.7217
K  0.6392  0.6392  0.2783
Sc  0.0000  0.0000  0.0000

VASP energy = -3.33 eV per atom

# 5
The following is a PBE calculation of crystalline KSc2I at its relaxed geometry, from the Alexandria database.

Cell lengths 11.8955, 11.8955, 11.8955 Å; angles 17.42, 17.42, 17.42 degrees
Fractional coordinates of all 4 atoms:
I  0.5000  0.5000  0.5000
Sc  0.1013  0.1013  0.1013
Sc  0.8987  0.8987  0.8987
K  0.0000  0.0000  0.0000

VASP energy = -3.65 eV per atom

# 6
The following is a PBE calculation of crystalline KSc2I6 at its relaxed geometry, from the Alexandria database.

Cell lengths 8.0818, 7.4888, 7.4888 Å; angles 120.00, 90.00, 90.00 degrees
Fractional coordinates of all 9 atoms:
K  0.0000  0.0000  0.0000
I  0.2887  0.0000  0.6383
I  0.7113  0.0000  0.3617
I  0.2887  0.3617  0.3617
I  0.7113  0.3617  0.0000
I  0.2887  0.6383  0.0000
I  0.7113  0.6383  0.6383
Sc  0.5000  0.6667  0.3333
Sc  0.5000  0.3333  0.6667

VASP energy = -3.80 eV per atom

# 7
The following is a PBE calculation of crystalline KSc3I at its relaxed geometry, from the Alexandria database.

Cell lengths 5.3430, 5.3430, 5.3430 Å; angles 90.00, 90.00, 90.00 degrees
Fractional coordinates of all 5 atoms:
Sc  0.0000  0.5000  0.0000
Sc  0.5000  0.0000  0.0000
Sc  0.0000  0.0000  0.5000
I  0.5000  0.5000  0.5000
K  0.0000  0.0000  0.0000

VASP energy = -2.94 eV per atom

# 8
The following is a PBE calculation of crystalline KScI3 at its relaxed geometry, from the Alexandria database.

Cell lengths 4.3134, 8.9330, 10.7816 Å; angles 97.04, 101.56, 103.99 degrees
Fractional coordinates of all 10 atoms:
K  0.9258  0.0477  0.8866
K  0.5707  0.4981  0.7270
Sc  0.8807  0.6636  0.1787
Sc  0.6159  0.8822  0.4349
I  0.6379  0.3437  0.0145
I  0.8585  0.2021  0.5991
I  0.3970  0.5457  0.3298
I  0.3256  0.7416  0.9920
I  0.0996  0.0001  0.2838
I  0.1709  0.8042  0.6216

VASP energy = -3.61 eV per atom

# 9
The following is a PBE calculation of crystalline KScI3 at its relaxed geometry, from the Alexandria database.

Cell lengths 5.8844, 5.8844, 5.8844 Å; angles 90.00, 90.00, 90.00 degrees
Fractional coordinates of all 5 atoms:
I  0.0000  0.5000  0.0000
I  0.5000  0.0000  0.0000
I  0.0000  0.0000  0.5000
K  0.5000  0.5000  0.5000
Sc  0.0000  0.0000  0.0000

VASP energy = -3.54 eV per atom

# 10
The following is a PBE calculation of crystalline KSc2I at its relaxed geometry, from the Alexandria database.

Cell lengths 4.5545, 4.5545, 13.6960 Å; angles 80.43, 80.43, 90.00 degrees
Fractional coordinates of all 8 atoms:
I  0.0000  0.0000  0.0000
I  0.7500  0.2500  0.5000
K  0.5000  0.5000  0.0000
K  0.2500  0.7500  0.5000
Sc  0.3750  0.3669  0.7500
Sc  0.8750  0.8831  0.7500
Sc  0.1169  0.6250  0.2500
Sc  0.6331  0.1250  0.2500

VASP energy = -3.64 eV per atom

# 11
The following is a PBE calculation of crystalline K2ScI at its relaxed geometry, from the Alexandria database.

Cell lengths 12.0742, 12.0742, 9.0109 Å; angles 47.93, 47.93, 90.00 degrees
Fractional coordinates of all 8 atoms:
Sc  0.5000  0.5000  0.0000
Sc  0.2500  0.7500  0.5000
K  0.3750  0.2581  0.7500
K  0.0081  0.6250  0.2500
K  0.8750  0.9919  0.7500
K  0.7419  0.1250  0.2500
I  0.7500  0.2500  0.5000
I  0.0000  0.0000  0.0000

VASP energy = -2.45 eV per atom

# 12
The following is a PBE calculation of crystalline K2Sc2I7 at its relaxed geometry, from the Alexandria database.

Cell lengths 8.0554, 9.1290, 9.1290 Å; angles 119.24, 94.65, 94.65 degrees
Fractional coordinates of all 11 atoms:
Sc  0.1062  0.7106  0.7106
Sc  0.8938  0.2894  0.2894
I  0.2453  0.6027  0.9301
I  0.7547  0.3973  0.0699
I  0.0000  0.0000  0.0000
I  0.2453  0.9301  0.6027
I  0.2371  0.4264  0.4264
I  0.7547  0.0699  0.3973
I  0.7629  0.5736  0.5736
K  0.5000  0.3046  0.6954
K  0.5000  0.6954  0.3046

VASP energy = -3.55 eV per atom

# 13
The following is a PBE calculation of crystalline K2ScI at its relaxed geometry, from the Alexandria database.

Cell lengths 6.4207, 6.4207, 6.4207 Å; angles 60.00, 60.00, 60.00 degrees
Fractional coordinates of all 4 atoms:
K  0.2500  0.2500  0.2500
K  0.7500  0.7500  0.7500
I  0.5000  0.5000  0.5000
Sc  0.0000  0.0000  0.0000

VASP energy = -2.35 eV per atom

# 14
The following is a PBE calculation of crystalline KSc2I at its relaxed geometry, from the Alexandria database.

Cell lengths 5.4560, 5.4560, 5.4560 Å; angles 60.00, 60.00, 60.00 degrees
Fractional coordinates of all 4 atoms:
Sc  0.2500  0.2500  0.2500
Sc  0.7500  0.7500  0.7500
K  0.0000  0.0000  0.0000
I  0.5000  0.5000  0.5000

VASP energy = -3.29 eV per atom

# 15
The following is a PBE calculation of crystalline KScI4 at its relaxed geometry, from the Alexandria database.

Cell lengths 10.7795, 7.4961, 10.1090 Å; angles 99.49, 112.95, 112.72 degrees
Fractional coordinates of all 12 atoms:
K  0.2340  0.4840  0.9680
K  0.7660  0.5160  0.0320
I  0.2183  0.5703  0.6119
I  0.1064  0.9584  0.3881
I  0.6362  0.8449  0.1393
I  0.3638  0.1551  0.8607
I  0.8936  0.0416  0.6119
I  0.7817  0.4297  0.3881
I  0.0030  0.2944  0.1393
I  0.9970  0.7056  0.8607
Sc  0.9331  0.1831  0.3662
Sc  0.0669  0.8169  0.6338

VASP energy = -3.58 eV per atom

# 16
The following is a PBE calculation of crystalline KScI3 at its relaxed geometry, from the Alexandria database.

Cell lengths 8.4270, 6.6740, 8.6335 Å; angles 80.99, 119.16, 84.72 degrees
Fractional coordinates of all 10 atoms:
I  0.1328  0.3154  0.0754
I  0.3312  0.8206  0.9384
I  0.8526  0.9860  0.4086
I  0.1924  0.4067  0.6049
I  0.7930  0.8949  0.8791
I  0.6543  0.4810  0.5456
Sc  0.9928  0.1507  0.7420
Sc  0.9928  0.6507  0.7420
K  0.3259  0.9265  0.4924
K  0.6595  0.3753  0.9915

VASP energy = -3.65 eV per atom

# 17
The following is a PBE calculation of crystalline KScSeI2 at its relaxed geometry, from the Alexandria database.

Cell lengths 5.9866, 5.9866, 5.0920 Å; angles 90.00, 90.00, 90.00 degrees
Fractional coordinates of all 5 atoms:
Se  0.0000  0.0000  0.5000
I  0.5000  0.0000  0.0000
I  0.0000  0.5000  0.0000
K  0.5000  0.5000  0.5000
Sc  0.0000  0.0000  0.0000

VASP energy = -4.09 eV per atom

# 18
The following is a PBE calculation of crystalline KSc2SeI at its relaxed geometry, from the Alexandria database.

Cell lengths 5.1051, 6.8912, 5.1051 Å; angles 90.00, 90.00, 90.00 degrees
Fractional coordinates of all 5 atoms:
Se  0.0000  0.0000  0.0000
I  0.5000  0.5000  0.5000
Sc  0.5000  0.0000  0.0000
Sc  0.0000  0.0000  0.5000
K  0.0000  0.5000  0.0000

VASP energy = -4.24 eV per atom

# 19
The following is a PBE calculation of crystalline K2ScSiI at its relaxed geometry, from the Alexandria database.

Cell lengths 6.4359, 5.7277, 6.4359 Å; angles 90.00, 90.00, 90.00 degrees
Fractional coordinates of all 5 atoms:
I  0.0000  0.5000  0.0000
Si  0.0000  0.0000  0.0000
K  0.5000  0.0000  0.0000
K  0.0000  0.0000  0.5000
Sc  0.5000  0.5000  0.5000

VASP energy = -2.38 eV per atom

# 20
The following is a PBE calculation of crystalline KScTeI2 at its relaxed geometry, from the Alexandria database.

Cell lengths 5.9282, 5.9282, 5.5848 Å; angles 90.00, 90.00, 90.00 degrees
Fractional coordinates of all 5 atoms:
I  0.5000  0.0000  0.0000
I  0.0000  0.5000  0.0000
Te  0.0000  0.0000  0.5000
K  0.5000  0.5000  0.5000
Sc  0.0000  0.0000  0.0000

VASP energy = -3.87 eV per atom